1:
The following is a DFT calculation (GGA-PBE) of an optimized crystal structure of BaBeIr3.

a b c (Å): 5.0972 5.0972 5.0972
angles (deg): 90.00 90.00 90.00
Fractional coordinates of all 5 atoms:
Ba 0.0000 0.0000 0.0000
Be 0.5000 0.5000 0.5000
Ir 0.0000 0.0000 0.5000
Ir 0.0000 0.5000 0.0000
Ir 0.5000 0.0000 0.0000

Output
The space-group type is Pm-3m (221).



2:
The following is a DFT calculation (GGA-PBE) of an optimized crystal structure of BaBeIr3.

a b c (Å): 4.4526 4.4526 4.4526
angles (deg): 90.00 90.00 90.00
Fractional coordinates of all 5 atoms:
Ba 0.0000 0.0000 0.0000
Be 0.5000 0.5000 0.5000
Ir 0.0000 0.5000 0.5000
Ir 0.5000 0.0000 0.5000
Ir 0.5000 0.5000 0.0000

Output
The space-group type is Pm-3m (221).



Which structure is the most stable? The one labeled 2.



1:
The following is a DFT calculation (GGA-PBE) of an optimized crystal structure of BaBe2Ir.

a b c (Å): 3.0258 3.0258 7.4309
angles (deg): 90.00 90.00 90.00
Fractional coordinates of all 4 atoms:
Ba 0.0000 0.0000 0.0000
Be 0.5000 0.5000 0.3524
Be 0.5000 0.5000 0.6476
Ir 0.0000 0.0000 0.5000

Output
The space-group type is P4/mmm (123).



2:
The following is a DFT calculation (GGA-PBE) of an optimized crystal structure of BaBe2Ir.

a b c (Å): 4.7938 4.7938 3.0385
angles (deg): 93.18 93.18 103.30
Fractional coordinates of all 4 atoms:
Ba 0.0000 0.0000 0.0000
Be 0.0000 0.5000 0.5000
Be 0.5000 0.0000 0.5000
Ir 0.5000 0.5000 0.0000

Output
The space-group type is C2/m (12).



Which structure is the most stable? The one labeled 1.



1:
The following is a DFT calculation (GGA-PBE) of an optimized crystal structure of BaBe2Ir.

a b c (Å): 5.2369 5.2369 5.2369
angles (deg): 136.47 110.82 85.38
Fractional coordinates of all 4 atoms:
Ba 0.0000 0.0000 0.0000
Be 0.3596 0.8596 0.5000
Be 0.6404 0.1404 0.5000
Ir 0.5000 0.5000 0.0000

Output
The space-group type is Immm (71).



2:
The following is a DFT calculation (GGA-PBE) of an optimized crystal structure of BaBe2Ir.

a b c (Å): 4.4381 3.8952 5.1728
angles (deg): 90.00 90.21 90.00
Fractional coordinates of all 4 atoms:
Ba 0.0000 0.0000 0.0000
Be 0.2760 0.5000 0.5010
Be 0.5458 0.0000 0.4989
Ir 0.7712 0.5000 0.4993

Output
The space-group type is Pm (6).



Which structure is the most stable? The one labeled 2.